[1]
! NbGa2Co2, optimized geometry, DFT PBE-GGA; values from VASP
! Density: 8.0 g/cm³
! Relative energy among the computed polymorphs: 52 kJ/mol of formula units
! Crystal system: tetragonal
! SG: I4/mmm, No. 139
&SYSTEM
  ibrav = 0, nat = 10, ntyp = 3
/
ATOMIC_SPECIES
Co 58.93 Co.upf
Nb 92.91 Nb.upf
Ga 69.72 Ga.upf
ATOMIC_POSITIONS angstrom
Co 0.000 0.000 1.343
Nb 0.000 0.000 7.123
Ga 0.000 0.000 3.608
Co 0.000 1.897 5.030
Co 1.897 1.897 8.717
Co 1.897 0.000 5.030
Ga 1.897 0.000 0.000
Ga 1.897 1.897 6.453
Nb 1.897 1.897 2.937
Ga 0.000 1.897 0.000
CELL_PARAMETERS angstrom
3.795 0.000 0.000
0.000 3.795 0.000
-1.897 -1.897 10.060

[2]
! NbGaCo2, optimized geometry, DFT PBE-GGA; values from VASP
! Density: 8.0 g/cm³
! Crystal system: tetragonal
! SG: I-42d, No. 122
&SYSTEM
  ibrav = 0, nat = 8, ntyp = 3
/
ATOMIC_SPECIES
Nb 92.91 Nb.upf
Co 58.93 Co.upf
Ga 69.72 Ga.upf
ATOMIC_POSITIONS angstrom
Nb 0.000 0.000 0.000
Co 4.916 1.643 0.671
Nb 6.571 3.286 1.342
Ga 3.286 3.286 0.000
Co 4.928 4.940 2.012
Co 1.655 4.928 0.671
Co 8.214 8.202 2.012
Ga 3.286 6.571 1.342
CELL_PARAMETERS angstrom
6.571 0.000 0.000
0.000 6.571 0.000
3.286 3.286 2.683

[3]
! NbGaCoNi, optimized geometry, DFT PBE-GGA; values from VASP
! Density: 8.7 g/cm³
! Crystal system: tetragonal
! SG: I-4m2, No. 119
&SYSTEM
  ibrav = 0, nat = 4, ntyp = 4
/
ATOMIC_SPECIES
Ga 69.72 Ga.upf
Co 58.93 Co.upf
Ni 58.69 Ni.upf
Nb 92.91 Nb.upf
ATOMIC_POSITIONS angstrom
Ga 0.075 -0.810 2.477
Co -0.774 -3.738 -1.200
Ni 2.578 -1.116 1.814
Nb 0.902 -2.427 0.307
CELL_PARAMETERS angstrom
-2.428 -0.505 3.141
-0.774 -3.739 -1.200
4.179 1.006 0.843

[4]
! NbGaCoOs, optimized geometry, DFT PBE-GGA; values from VASP
! Density: 11.9 g/cm³
! Relative energy among the computed polymorphs: 0 kJ/mol of formula units
! Crystal system: tetragonal
! SG: I-4m2, No. 119
&SYSTEM
  ibrav = 0, nat = 4, ntyp = 4
/
ATOMIC_SPECIES
Nb 92.91 Nb.upf
Os 190.23 Os.upf
Co 58.93 Co.upf
Ga 69.72 Ga.upf
ATOMIC_POSITIONS angstrom
Nb -4.059 1.895 -0.164
Os -2.617 -0.338 -0.412
Co -1.199 -1.555 1.810
Ga -1.174 -2.572 -0.659
CELL_PARAMETERS angstrom
-2.592 -1.355 -2.881
0.244 -3.789 1.562
-1.467 3.250 2.717

[5]
! NbGaCoOs, optimized geometry, DFT PBE-GGA; values from VASP
! Density: 11.8 g/cm³
! Relative energy among the computed polymorphs: 1 kJ/mol of formula units
! Crystal system: cubic
! SG: F-43m, No. 216
&SYSTEM
  ibrav = 0, nat = 4, ntyp = 4
/
ATOMIC_SPECIES
Nb 92.91 Nb.upf
Co 58.93 Co.upf
Os 190.23 Os.upf
Ga 69.72 Ga.upf
ATOMIC_POSITIONS angstrom
Nb 6.516 3.762 2.660
Co 0.000 0.000 0.000
Os 4.344 2.508 1.773
Ga 2.172 1.254 0.887
CELL_PARAMETERS angstrom
4.344 0.000 0.000
2.172 3.762 0.000
2.172 1.254 3.547

[6]
! NbGa2CoP, optimized geometry, DFT PBE-GGA; values from VASP
! Density: 5.6 g/cm³
! Crystal system: tetragonal
! SG: P4/mmm, No. 123
&SYSTEM
  ibrav = 0, nat = 5, ntyp = 4
/
ATOMIC_SPECIES
Ga 69.72 Ga.upf
Nb 92.91 Nb.upf
Co 58.93 Co.upf
P 30.97 P.upf
ATOMIC_POSITIONS angstrom
Ga 0.903 0.821 1.924
Nb 1.773 -1.481 -0.200
Co 1.518 -2.210 2.928
P 0.000 0.000 0.000
Ga -1.158 -1.549 1.204
CELL_PARAMETERS angstrom
-2.316 -3.098 2.409
3.546 -2.963 -0.401
1.806 1.642 3.849

[7]
! NbGaCoPd, optimized geometry, DFT PBE-GGA; values from VASP
! Density: 9.2 g/cm³
! Crystal system: cubic
! SG: F-43m, No. 216
&SYSTEM
  ibrav = 0, nat = 4, ntyp = 4
/
ATOMIC_SPECIES
Co 58.93 Co.upf
Nb 92.91 Nb.upf
Pd 106.42 Pd.upf
Ga 69.72 Ga.upf
ATOMIC_POSITIONS angstrom
Co 0.000 0.000 0.000
Nb -0.729 0.385 2.547
Pd -1.459 0.771 5.095
Ga -2.188 1.156 7.642
CELL_PARAMETERS angstrom
-0.629 3.000 3.119
-3.227 -0.511 2.906
0.938 -0.946 4.165

[8]
! NbGaCoRu, optimized geometry, DFT PBE-GGA; values from VASP
! Density: 9.4 g/cm³
! Crystal system: tetragonal
! SG: I-4m2, No. 119
&SYSTEM
  ibrav = 0, nat = 4, ntyp = 4
/
ATOMIC_SPECIES
Co 58.93 Co.upf
Nb 92.91 Nb.upf
Ru 101.07 Ru.upf
Ga 69.72 Ga.upf
ATOMIC_POSITIONS angstrom
Co 2.051 2.051 3.372
Nb 0.000 2.051 1.686
Ru 2.051 2.051 0.000
Ga 2.051 0.000 1.686
CELL_PARAMETERS angstrom
4.102 0.000 0.000
0.000 4.102 0.000
-2.051 -2.051 3.372

The evaluated DOS(E_F) for the records listed, in turn: 0.739; 1.017; 0.521; 0.307; 0.395; 1.577; 0.899; 0.313 states/eV/atom.
The evaluated VASP energy for the records listed, in turn: -30.7; -26.1; -27.2; -32.3; -32.3; -24.6; -26.4; -30.9 eV/f.u..